Entry 1:
# PBE Ga3ReB, optimized geometry
data_Ga3ReB
_cell_length_a 4.835
_cell_length_b 4.835
_cell_length_c 4.835
_cell_angle_alpha 90.00
_cell_angle_beta 90.00
_cell_angle_gamma 90.00
_symmetry_space_group_name_H-M 'P 1'
_symmetry_Int_Tables_number 1
loop_
_symmetry_equiv_pos_as_xyz
'x,y,z'
loop_
_atom_site_label
_atom_site_fract_x
_atom_site_fract_y
_atom_site_fract_z
_atom_site_occupancy
Ga1 0.000 0.000 0.500 1
Ga2 0.000 0.500 0.000 1
Ga3 0.500 0.000 0.000 1
Re1 0.000 0.000 0.000 1
B1 0.500 0.500 0.500 1
# Density ... 6.0 g/cm3
# Space group ... No. 221
# Formation energy from the elements ... 1.16 eV per atom
# Electronic total energy ... -4.4839 eV per atom

---

Entry 2:
# PBE Sr2GaReB, optimized geometry
data_Sr2GaReB
_cell_length_a 5.851
_cell_length_b 5.851
_cell_length_c 4.697
_cell_angle_alpha 90.00
_cell_angle_beta 90.00
_cell_angle_gamma 90.00
_symmetry_space_group_name_H-M 'P 1'
_symmetry_Int_Tables_number 1
loop_
_symmetry_equiv_pos_as_xyz
'x,y,z'
loop_
_atom_site_label
_atom_site_fract_x
_atom_site_fract_y
_atom_site_fract_z
_atom_site_occupancy
Sr1 0.000 0.500 0.000 1
Sr2 0.500 0.000 0.000 1
Ga1 0.000 0.000 0.000 1
Re1 0.000 0.000 0.500 1
B1 0.500 0.500 0.500 1
# Density ... 4.6 g/cm3
# Space group ... No. 123
# Formation energy from the elements ... 1.41 eV per atom
# Electronic total energy ... -3.6922 eV per atom

---

Entry 3:
# PBE GaB6Rh12, optimized geometry
data_GaB6Rh12
_cell_length_a 6.622
_cell_length_b 6.622
_cell_length_c 6.622
_cell_angle_alpha 109.47
_cell_angle_beta 109.47
_cell_angle_gamma 109.47
_symmetry_space_group_name_H-M 'P 1'
_symmetry_Int_Tables_number 1
loop_
_symmetry_equiv_pos_as_xyz
'x,y,z'
loop_
_atom_site_label
_atom_site_fract_x
_atom_site_fract_y
_atom_site_fract_z
_atom_site_occupancy
Ga1 0.000 0.000 0.000 1
B1 0.119 0.619 0.500 1
B2 0.381 0.500 0.881 1
B3 0.500 0.119 0.619 1
B4 0.500 0.881 0.381 1
B5 0.619 0.500 0.119 1
B6 0.881 0.381 0.500 1
Rh1 0.125 0.817 0.308 1
Rh2 0.183 0.308 0.490 1
Rh3 0.183 0.692 0.875 1
Rh4 0.308 0.125 0.817 1
Rh5 0.308 0.490 0.183 1
Rh6 0.490 0.183 0.308 1
Rh7 0.510 0.817 0.692 1
Rh8 0.692 0.510 0.817 1
Rh9 0.692 0.875 0.183 1
Rh10 0.817 0.308 0.125 1
Rh11 0.817 0.692 0.510 1
Rh12 0.875 0.183 0.692 1
# Density ... 10.2 g/cm3
# Space group ... No. 204
# Formation energy from the elements ... -0.32 eV per atom
# Electronic total energy ... -7.2282 eV per atom

---

Entry 4:
# PBE GaBRh4, optimized geometry
data_GaBRh4
_cell_length_a 4.009
_cell_length_b 4.009
_cell_length_c 5.508
_cell_angle_alpha 100.72
_cell_angle_beta 100.72
_cell_angle_gamma 90.85
_symmetry_space_group_name_H-M 'P 1'
_symmetry_Int_Tables_number 1
loop_
_symmetry_equiv_pos_as_xyz
'x,y,z'
loop_
_atom_site_label
_atom_site_fract_x
_atom_site_fract_y
_atom_site_fract_z
_atom_site_occupancy
Ga1 0.000 0.000 0.000 1
B1 0.398 0.398 0.564 1
Rh1 0.042 0.562 0.281 1
Rh2 0.430 0.931 0.723 1
Rh3 0.562 0.042 0.281 1
Rh4 0.931 0.430 0.723 1
# Density ... 9.6 g/cm3
# Space group ... No. 8
# Formation energy from the elements ... -0.17 eV per atom
# Electronic total energy ... -6.6881 eV per atom

---

> Which formula does entry 3 have?

GaB6Rh12

---

> Number 4 is which compound?

GaBRh4

---

> What is the formula in the third record?

GaB6Rh12

---

> Which of these has the highest density?

GaB6Rh12